Compound: NiGeIrO6
Source: Alexandria
Functional: PBE with a Hubbard U
Structure: optimized geometry

**Raw total energy**: -54.75 eV per formula unit
**N(E_F)**: 0.530 states/eV/atom

Lattice parameters (Å, degrees): 5.0457 5.0457 8.7217 90.00 90.00 120.00
Space group P-31c (No. 163)
Inequivalent atoms, fractional coordinates:
1 Ni 0.0000 0.0000 0.0000 (multiplicity 2)
2 Ge 0.3333 0.6667 0.2500 (multiplicity 2)
3 Ir 0.3333 0.6667 0.7500 (multiplicity 2)
4 O 0.0049 0.3539 0.1319 (multiplicity 12)